# NaLuSnPt

An optimized crystal structure of NaLuSnPt (PBE, OQMD via LeMat-Bulk).

abc: 6.816 6.816 6.816
angles: 90.00 90.00 90.00
Element x y z (fractional)
Na  0.000  0.000  0.000
Na  0.000  0.500  0.500
Na  0.500  0.000  0.500
Na  0.500  0.500  0.000
Lu  0.250  0.250  0.250
Lu  0.250  0.750  0.750
Lu  0.750  0.250  0.750
Lu  0.750  0.750  0.250
Sn  0.250  0.250  0.750
Sn  0.250  0.750  0.250
Sn  0.750  0.250  0.250
Sn  0.750  0.750  0.750
Pt  0.000  0.000  0.500
Pt  0.000  0.500  0.000
Pt  0.500  0.000  0.000
Pt  0.500  0.500  0.500

Summary:
energy above the lowest structure with this stoichiometry: 0 meV/atom
E_tot: -0.341 Ry per atom
V: 316.64 Å³/cell